# 1
TiBN2 | GGA-PBEsol | optimized geometry

Unit cell a=3.0551 b=3.0551 c=5.2739 alpha=73.16 beta=73.16 gamma=60.00
With the nearest neighbours (Å) after each atom.
Fractional coordinates of all 4 atoms:
B1 0.0000 0.0000 0.0000  2 N 1.34
Ti1 0.5000 0.5000 0.5000  6 N 2.10
N1 0.9101 0.9101 0.2697  1 B 1.34
N2 0.0899 0.0899 0.7303  1 B 1.34

## Properties
The value obtained for the total magnetization is 0.00 μB/f.u. The raw total energy comes out at -9.1986 eV/atom. For the uncorrected formation energy, the calculation gives -1101 meV per atom. As for the space-group type: No. 166.

***

# 2
ZrAs2Ir | GGA-PBEsol | optimized geometry

Unit cell a=3.0528 b=3.0528 c=8.5755 alpha=79.75 beta=79.75 gamma=60.00
With the nearest neighbours (Å) after each atom.
Fractional coordinates of all 4 atoms:
As1 0.2419 0.2419 0.2742  3 Ir 2.59
As2 0.7581 0.7581 0.7258  3 Ir 2.59
Ir1 0.5000 0.5000 0.5000  6 As 2.59
Zr1 0.0000 0.0000 0.0000  6 As 2.90, 6 Zr 3.05

## Properties
For the formation energy, the calculation gives -105 meV/atom. The value obtained for the total magnetization is 0.00 μB/f.u. The raw total energy comes out at -7.3869 eV/atom. As for the offset from the most stable computed form: 167 kJ/mol of formula units. As for the space-group type: No. 166.

***

# 3
HoCo4Ni | GGA-PBEsol | optimized geometry

Unit cell a=3.9023 b=4.7972 c=4.7972 alpha=120.00 beta=90.00 gamma=90.00
With the nearest neighbours (Å) after each atom.
Fractional coordinates of all 6 atoms:
Ni1 0.0000 0.6667 0.3333  6 Co 2.39
Co1 0.0000 0.3333 0.6667  6 Co 2.39
Co2 0.5000 0.9993 0.4996  2 Ni 2.39, 6 Co 2.39-2.40
Co3 0.5000 0.5004 0.0007  2 Ni 2.39, 6 Co 2.39-2.40
Co4 0.5000 0.5004 0.4996  2 Ni 2.39, 6 Co 2.39-2.40
Ho1 0.0000 0.0000 0.0000  3 Ni 2.77, 15 Co 2.77-3.09

## Properties
For the formation energy, the calculation gives -142 meV/atom. The value obtained for the total magnetization is 5.79 μB/f.u. The raw total energy comes out at -7.1514 eV/atom. As for the space-group type: No. 187.

***

Number 1: D(E_F) 0.399 states/eV/atom. Number 2: D(E_F) 0.858 states/eV/atom. Number 3: D(E_F) 1.360 states/eV/atom.